A:
A geometry-optimized PrDy3Tm structure, computed with PBE.

```
PrDy3Tm
1.0
4.958 0.000 0.000
0.001 8.244 0.000
2.478 3.341 8.286
Pr Dy Tm
2 6 2
direct
0.118 0.151 0.264
0.882 0.849 0.736
0.057 0.702 0.385
0.228 0.628 0.044
0.417 0.567 0.667
0.583 0.433 0.333
0.772 0.372 0.956
0.943 0.298 0.615
0.312 0.104 0.876
0.688 0.896 0.124
```

Summary:
- size of the total moment (μB/atom) = 0.000
- calculated volume (A^3/atom) = 33.87

=====

B:
A geometry-optimized PrDy3Tm structure, computed with PBE.

```
PrDy3Tm
1.0
3.639 0.000 0.000
0.000 11.618 0.000
-1.819 0.000 8.325
Pr Dy Tm
2 6 2
direct
0.196 0.250 0.391
0.804 0.750 0.609
0.140 0.750 0.280
0.348 0.002 0.696
0.348 0.498 0.696
0.652 0.502 0.304
0.652 0.998 0.304
0.860 0.250 0.720
0.477 0.750 0.955
0.523 0.250 0.045
```

Summary:
- size of the total moment (μB/atom) = 0.000
- calculated volume (A^3/atom) = 35.20

=====

Least stable of them? B.